(1)
DFT (GGA-PBE) results for crystalline BaHfBePd at its relaxed geometry.

abc: 5.0321 5.0321 5.0321
angles: 60.00 60.00 60.00
Sites, in units of the cell vectors:
Pd 0.2500 0.2500 0.2500
Hf 0.0000 0.0000 0.0000
Ba 0.5000 0.5000 0.5000
Be 0.7500 0.7500 0.7500

Calculated values
Mass density in Mg/m³: 7.9
Volume in A^3/atom: 22.525
Magnetic moment in μB/f.u.: 0.00
Relative energy among the computed polymorphs in meV/atom: 0.0

***

(2)
DFT (GGA-PBE) results for crystalline BaHfBePd at its relaxed geometry.

abc: 4.8673 4.8673 4.8673
angles: 60.00 60.00 60.00
Sites, in units of the cell vectors:
Ba 0.2500 0.2500 0.2500
Hf 0.0000 0.0000 0.0000
Pd 0.5000 0.5000 0.5000
Be 0.7500 0.7500 0.7500

Calculated values
Mass density in Mg/m³: 8.8
Volume in A^3/atom: 20.384
Magnetic moment in μB/f.u.: 0.00
Relative energy among the computed polymorphs in meV/atom: 175.4

***

(3)
DFT (GGA-PBE) results for crystalline BaHfBePd at its relaxed geometry.

abc: 4.8508 4.8508 4.8508
angles: 60.00 60.00 60.00
Sites, in units of the cell vectors:
Hf 0.2500 0.2500 0.2500
Ba 0.0000 0.0000 0.0000
Be 0.7500 0.7500 0.7500
Pd 0.5000 0.5000 0.5000

Calculated values
Mass density in Mg/m³: 8.9
Volume in A^3/atom: 20.178
Magnetic moment in μB/f.u.: 0.00
Relative energy among the computed polymorphs in meV/atom: 47.6

***

(4)
DFT (GGA-PBE) results for crystalline Ba2BeHg at its relaxed geometry.

abc: 5.5214 5.5214 5.5214
angles: 60.00 60.00 60.00
Sites, in units of the cell vectors:
Ba 0.0000 0.0000 0.0000
Ba 0.7500 0.7500 0.7500
Be 0.5000 0.5000 0.5000
Hg 0.2500 0.2500 0.2500

Calculated values
Mass density in Mg/m³: 6.8
Volume in A^3/atom: 29.755
Electronic total energy in eV/atom: -1.74

***

(5)
DFT (GGA-PBE) results for crystalline BaBeHg at its relaxed geometry.

abc: 5.4059 5.4059 5.4059
angles: 60.00 60.00 60.00
Sites, in units of the cell vectors:
Ba 0.0000 0.0000 0.0000
Be 0.2500 0.2500 0.2500
Hg 0.7500 0.7500 0.7500

Calculated values
Mass density in Mg/m³: 5.2
Volume in A^3/atom: 37.236
Relative energy among the computed polymorphs in meV/atom: 323.1

***

(6)
DFT (GGA-PBE) results for crystalline BaBeHg at its relaxed geometry.

abc: 5.0492 5.0492 5.0492
angles: 60.00 60.00 60.00
Sites, in units of the cell vectors:
Be 0.0000 0.0000 0.0000
Ba 0.2500 0.2500 0.2500
Hg 0.7500 0.7500 0.7500

Calculated values
Mass density in Mg/m³: 6.3
Volume in A^3/atom: 30.341
Relative energy among the computed polymorphs in meV/atom: 0.0

***

(7)
DFT (GGA-PBE) results for crystalline Ba3HoBe at its relaxed geometry.

abc: 8.4195 8.4195 6.7770
angles: 90.00 90.00 119.94
Each line ends with the local moment (μB).
Sites, in units of the cell vectors:
Ho 0.0000 0.0000 0.5000  0.26
Ho 0.0000 0.0000 0.0000  0.26
Ba 0.9377 0.4686 0.2500  0.01
Ba 0.5311 0.4689 0.2500  0.01
Ba 0.0623 0.5314 0.7500  0.01
Ba 0.5314 0.0623 0.2500  0.01
Ba 0.4686 0.9377 0.7500  0.01
Ba 0.4689 0.5311 0.7500  0.01
Be 0.3332 0.6668 0.2500  0.00
Be 0.6668 0.3332 0.7500  0.00

Calculated values
Mass density in Mg/m³: 4.7
Volume in A^3/atom: 41.629
Magnetic moment in μB/f.u.: 0.52
Electronic total energy in eV/atom: -2.05

***

(8)
DFT (GGA-PBE) results for crystalline BaBeIr at its relaxed geometry.

abc: 4.7446 4.7446 4.7446
angles: 60.00 60.00 60.00
Sites, in units of the cell vectors:
Be 0.7500 0.7500 0.7500
Ir 0.0000 0.0000 0.0000
Ba 0.2500 0.2500 0.2500

Calculated values
Mass density in Mg/m³: 7.4
Volume in A^3/atom: 25.175
Magnetic moment in μB/f.u.: 0.11
Relative energy among the computed polymorphs in meV/atom: 58.9